Entry 1:
Material: La4AlPd
Method: DFT, PBE
State: relaxed

Computed properties:
Total energy = -61.7 eV/cell
Relative energy among the computed polymorphs = 0 meV/atom
ΔE_f = -370.6 meV/atom
Total magnetic moment = 0.0 μB/cell

Unit cell a=5.508 b=7.241 c=9.798 alpha=90.00 beta=115.16 gamma=90.00
Fractional positions:
La 0.664 0.250 0.879
La 0.903 0.023 0.223
Pd 0.785 0.750 0.442
La 0.613 0.250 0.448
Pd 0.215 0.250 0.558
La 0.097 0.523 0.777
La 0.903 0.477 0.223
Al 0.314 0.250 0.084
La 0.336 0.750 0.121
Al 0.686 0.750 0.916
La 0.387 0.750 0.552
La 0.097 0.977 0.777

Entry 2:
Material: Cs6Rb9Au
Method: DFT, PBE
State: relaxed

Computed properties:
Total energy = -17.9 eV/cell
ΔE_f = -46.6 meV/atom
Total magnetic moment = 0.0 μB/cell

Unit cell a=11.493 b=11.493 c=13.676 alpha=114.85 beta=114.85 gamma=90.00
Fractional positions:
Rb 0.579 0.968 0.340
Rb 0.500 0.500 0.000
Rb 0.239 0.628 0.660
Cs 0.164 0.164 0.328
Rb 0.421 0.032 0.660
Au 0.000 0.000 0.000
Rb 0.032 0.239 0.660
Cs 0.297 0.104 0.000
Rb 0.968 0.761 0.340
Rb 0.628 0.421 0.660
Cs 0.104 0.703 0.000
Cs 0.703 0.896 0.000
Rb 0.761 0.372 0.340
Rb 0.372 0.579 0.340
Cs 0.896 0.297 0.000
Cs 0.836 0.836 0.672